Record 1
Below is a geometry-optimized ZnPICl2 structure, with properties calculated at the PBE level.

Calculated values
E_tot (eV/atom): -1.738
D(E_F) (states/eV per atom): 0.593
Size of the total moment (μB per cell): 0.0
Energy relative to the elements, uncorrected (eV per atom): 0.6479
ΔE to the lowest computed polymorph (meV/atom): 595

Cell lengths 5.503, 5.503, 5.244 Å; angles 90.00, 90.00, 90.00 degrees
Space group P4/mmm (No. 123)
Unique sites:
Zn (0.000, 0.000, 0.000)
P (0.500, 0.500, 0.000)
I (0.500, 0.500, 0.500)
Cl (0.000, 0.500, 0.500)

---

Record 2
Below is a geometry-optimized ZrP2ICl structure, with properties calculated at the PBE level.

Calculated values
E_tot (eV/atom): -4.604
D(E_F) (states/eV per atom): 0.870
Size of the total moment (μB per cell): 0.0
Energy relative to the elements, uncorrected (eV per atom): -0.0506
ΔE to the lowest computed polymorph (meV/atom): 0

Cell lengths 5.181, 5.181, 4.957 Å; angles 90.00, 90.00, 90.00 degrees
Space group P4/mmm (No. 123)
Unique sites:
Zr (0.000, 0.000, 0.000)
P (0.000, 0.500, 0.000)
I (0.500, 0.500, 0.500)
Cl (0.000, 0.000, 0.500)